Record 1
# DyIn4Pd2 GGA-PBE relaxed
# calculated total energy	-29.7	eV per formula unit
# energy of formation from the pure elements	-0.532	eV/atom
# spin magnetization	0.00	μB/atom
# D(E_F)	12.198	states/eV/cell
data_DyIn4Pd2
_cell_length_a 18.5007
_cell_length_b 4.5309
_cell_length_c 7.2655
_cell_angle_alpha 90.00
_cell_angle_beta 90.00
_cell_angle_gamma 90.00
_symmetry_space_group_name_H-M 'P 1'
_symmetry_Int_Tables_number 1
_symmetry_space_group_name_Hall 'P 1'
loop_
_atom_site_label
_atom_site_type_symbol
_atom_site_fract_x
_atom_site_fract_y
_atom_site_fract_z
_atom_site_occupancy
Dy1 Dy 0.1427 0.2500 0.0343 1
Dy2 Dy 0.3573 0.7500 0.5343 1
Dy3 Dy 0.6427 0.2500 0.4657 1
Dy4 Dy 0.8573 0.7500 0.9657 1
In1 In 0.0344 0.7500 0.8580 1
In2 In 0.0693 0.2500 0.4962 1
In3 In 0.1865 0.7500 0.3309 1
In4 In 0.1907 0.7500 0.7459 1
In5 In 0.3093 0.2500 0.2459 1
In6 In 0.3135 0.2500 0.8309 1
In7 In 0.4307 0.7500 0.9962 1
In8 In 0.4656 0.2500 0.3580 1
In9 In 0.5344 0.7500 0.6420 1
In10 In 0.5693 0.2500 0.0038 1
In11 In 0.6865 0.7500 0.1691 1
In12 In 0.6907 0.7500 0.7541 1
In13 In 0.8093 0.2500 0.2541 1
In14 In 0.8135 0.2500 0.6691 1
In15 In 0.9307 0.7500 0.5038 1
In16 In 0.9656 0.2500 0.1420 1
Pd1 Pd 0.0417 0.7500 0.2466 1
Pd2 Pd 0.2177 0.2500 0.5414 1
Pd3 Pd 0.2823 0.7500 0.0414 1
Pd4 Pd 0.4583 0.2500 0.7466 1
Pd5 Pd 0.5417 0.7500 0.2534 1
Pd6 Pd 0.7177 0.2500 0.9586 1
Pd7 Pd 0.7823 0.7500 0.4586 1
Pd8 Pd 0.9583 0.2500 0.7534 1

***

Record 2
# CsPb2Au3 GGA-PBE relaxed
# calculated total energy	-19.0	eV per formula unit
# energy of formation from the pure elements	-0.150	eV/atom
# spin magnetization	0.00	μB/atom
# D(E_F)	3.544	states/eV/cell
data_CsPb2Au3
_cell_length_a 9.8830
_cell_length_b 9.8830
_cell_length_c 7.7472
_cell_angle_alpha 103.23
_cell_angle_beta 103.23
_cell_angle_gamma 28.65
_symmetry_space_group_name_H-M 'P 1'
_symmetry_Int_Tables_number 1
_symmetry_space_group_name_Hall 'P 1'
loop_
_atom_site_label
_atom_site_type_symbol
_atom_site_fract_x
_atom_site_fract_y
_atom_site_fract_z
_atom_site_occupancy
Cs1 Cs 0.1057 0.1057 0.1157 1
Cs2 Cs 0.8943 0.8943 0.8843 1
Pb1 Pb 0.2312 0.2312 0.6776 1
Pb2 Pb 0.4712 0.4712 0.2886 1
Pb3 Pb 0.5288 0.5288 0.7114 1
Pb4 Pb 0.7688 0.7688 0.3224 1
Au1 Au 0.0743 0.0743 0.5600 1
Au2 Au 0.2816 0.2816 0.0881 1
Au3 Au 0.3515 0.3515 0.4857 1
Au4 Au 0.6485 0.6485 0.5143 1
Au5 Au 0.7184 0.7184 0.9119 1
Au6 Au 0.9257 0.9257 0.4400 1

***

Record 3
# AcEu2Pd GGA-PBE relaxed
# calculated total energy	-31.1	eV per formula unit
# energy of formation from the pure elements	-0.307	eV/atom
# relative energy among the computed polymorphs	0	meV per atom
# spin magnetization	3.55	μB/atom
# D(E_F)	18.507	states/eV/cell
data_AcEu2Pd
_cell_length_a 3.7586
_cell_length_b 3.7586
_cell_length_c 9.4365
_cell_angle_alpha 90.00
_cell_angle_beta 90.00
_cell_angle_gamma 90.00
_symmetry_space_group_name_H-M 'P 1'
_symmetry_Int_Tables_number 1
_symmetry_space_group_name_Hall 'P 1'
loop_
_atom_site_label
_atom_site_type_symbol
_atom_site_fract_x
_atom_site_fract_y
_atom_site_fract_z
_atom_site_occupancy
Ac1 Ac 0.0000 0.0000 0.0000 1
Eu1 Eu 0.5000 0.5000 0.3187 1
Eu2 Eu 0.5000 0.5000 0.6813 1
Pd1 Pd 0.0000 0.0000 0.5000 1

***

Record 4
# TlAgSb2 GGA-PBE relaxed
# uncorrected formation energy	0.13	eV/atom
# calculated total energy	-12.9	eV per formula unit
# spin magnetization	0.00	μB/atom
# D(E_F)	1.697	states/eV/cell
data_TlAgSb2
_cell_length_a 6.4919
_cell_length_b 6.4919
_cell_length_c 6.0614
_cell_angle_alpha 116.77
_cell_angle_beta 116.77
_cell_angle_gamma 28.48
_symmetry_space_group_name_H-M 'P 1'
_symmetry_Int_Tables_number 1
_symmetry_space_group_name_Hall 'P 1'
loop_
_atom_site_label
_atom_site_type_symbol
_atom_site_fract_x
_atom_site_fract_y
_atom_site_fract_z
_atom_site_occupancy
Tl1 Tl 0.0000 0.0000 0.0000 1
Ag1 Ag 0.5000 0.5000 0.5000 1
Sb1 Sb 0.2216 0.2216 0.7210 1
Sb2 Sb 0.7784 0.7784 0.2790 1

***

Record 5
# AlNi2OsI GGA-PBE relaxed
# uncorrected formation energy	1.15	eV/atom
# calculated total energy	-22.3	eV per formula unit
# spin magnetization	0.28	μB/atom
# D(E_F)	5.443	states/eV/cell
data_AlNi2OsI
_cell_length_a 4.4023
_cell_length_b 4.4023
_cell_length_c 4.6331
_cell_angle_alpha 90.00
_cell_angle_beta 90.00
_cell_angle_gamma 90.00
_symmetry_space_group_name_H-M 'P 1'
_symmetry_Int_Tables_number 1
_symmetry_space_group_name_Hall 'P 1'
loop_
_atom_site_label
_atom_site_type_symbol
_atom_site_fract_x
_atom_site_fract_y
_atom_site_fract_z
_atom_site_occupancy
Al1 Al 0.0000 0.0000 0.0000 1
Ni1 Ni 0.0000 0.5000 0.0000 1
Ni2 Ni 0.5000 0.0000 0.0000 1
Os1 Os 0.0000 0.0000 0.5000 1
I1 I 0.5000 0.5000 0.5000 1

***

Record 6
# Na2LiCdP2 GGA-PBE relaxed
# calculated total energy	-18.3	eV per formula unit
# energy of formation from the pure elements	-0.337	eV/atom
# spin magnetization	0.00	μB/atom
# D(E_F)	5.332	states/eV/cell
data_Na2LiCdP2
_cell_length_a 8.2757
_cell_length_b 8.2757
_cell_length_c 8.2757
_cell_angle_alpha 138.77
_cell_angle_beta 60.50
_cell_angle_gamma 137.76
_symmetry_space_group_name_H-M 'P 1'
_symmetry_Int_Tables_number 1
_symmetry_space_group_name_Hall 'P 1'
loop_
_atom_site_label
_atom_site_type_symbol
_atom_site_fract_x
_atom_site_fract_y
_atom_site_fract_z
_atom_site_occupancy
Na1 Na 0.1804 0.2503 0.4307 1
Na2 Na 0.3196 0.7503 0.0699 1
Na3 Na 0.6804 0.2497 0.9301 1
Na4 Na 0.8196 0.7497 0.5693 1
Li1 Li 0.2500 0.2500 0.0000 1
Li2 Li 0.7500 0.7500 0.0000 1
Cd1 Cd 0.2500 0.7500 0.5000 1
Cd2 Cd 0.7500 0.2500 0.5000 1
P1 P 0.1128 0.7592 0.8720 1
P2 P 0.3872 0.2592 0.6465 1
P3 P 0.6128 0.7408 0.3535 1
P4 P 0.8872 0.2408 0.1280 1

***

Record 7
# TmTh2Te5 GGA-PBE relaxed
# uncorrected formation energy	-1.14	eV/atom
# calculated total energy	-44.2	eV per formula unit
# spin magnetization	0.00	μB/atom
# D(E_F)	3.915	states/eV/cell
data_TmTh2Te5
_cell_length_a 7.6400
_cell_length_b 7.6400
_cell_length_c 14.8800
_cell_angle_alpha 90.00
_cell_angle_beta 90.00
_cell_angle_gamma 132.22
_symmetry_space_group_name_H-M 'P 1'
_symmetry_Int_Tables_number 1
_symmetry_space_group_name_Hall 'P 1'
loop_
_atom_site_label
_atom_site_type_symbol
_atom_site_fract_x
_atom_site_fract_y
_atom_site_fract_z
_atom_site_occupancy
Tm1 Tm 0.2127 0.7873 0.7500 1
Tm2 Tm 0.7873 0.2127 0.2500 1
Th1 Th 0.1606 0.8394 0.0542 1
Th2 Th 0.1606 0.8394 0.4458 1
Th3 Th 0.8394 0.1606 0.5542 1
Th4 Th 0.8394 0.1606 0.9458 1
Te1 Te 0.0484 0.9516 0.6239 1
Te2 Te 0.0484 0.9516 0.8761 1
Te3 Te 0.2573 0.7427 0.2500 1
Te4 Te 0.3420 0.6580 0.5794 1
Te5 Te 0.3420 0.6580 0.9206 1
Te6 Te 0.6580 0.3420 0.0794 1
Te7 Te 0.6580 0.3420 0.4206 1
Te8 Te 0.7427 0.2573 0.7500 1
Te9 Te 0.9516 0.0484 0.1239 1
Te10 Te 0.9516 0.0484 0.3761 1

***

Record 8
# BaSn2SbO8 GGA-PBE relaxed
# uncorrected formation energy	-1.53	eV/atom
# calculated total energy	-72.1	eV per formula unit
# spin magnetization	0.08	μB/atom
data_BaSn2SbO8
_cell_length_a 4.7385
_cell_length_b 4.8629
_cell_length_c 7.9842
_cell_angle_alpha 94.50
_cell_angle_beta 90.53
_cell_angle_gamma 92.67
_symmetry_space_group_name_H-M 'P 1'
_symmetry_Int_Tables_number 1
_symmetry_space_group_name_Hall 'P 1'
loop_
_atom_site_label
_atom_site_type_symbol
_atom_site_fract_x
_atom_site_fract_y
_atom_site_fract_z
_atom_site_occupancy
Ba1 Ba 0.0000 0.0000 0.0000 1
Sn1 Sn 0.4823 0.5355 0.6949 1
Sn2 Sn 0.5177 0.4645 0.3051 1
Sb1 Sb 0.0000 0.0000 0.5000 1
O1 O 0.1750 0.1920 0.3135 1
O2 O 0.1915 0.2165 0.7000 1
O3 O 0.3076 0.7122 0.4922 1
O4 O 0.4508 0.6836 0.9342 1
O5 O 0.5492 0.3164 0.0658 1
O6 O 0.6924 0.2878 0.5078 1
O7 O 0.8085 0.7835 0.3000 1
O8 O 0.8250 0.8080 0.6865 1

***

Record 9
# Sc2MoCl GGA-PBE relaxed
# uncorrected formation energy	0.19	eV/atom
# calculated total energy	-24.6	eV per formula unit
# relative energy among the computed polymorphs	737	meV per atom
# spin magnetization	0.08	μB/atom
# D(E_F)	8.816	states/eV/cell
data_Sc2MoCl
_cell_length_a 5.9622
_cell_length_b 5.9622
_cell_length_c 5.9622
_cell_angle_alpha 105.11
_cell_angle_beta 105.11
_cell_angle_gamma 118.59
_symmetry_space_group_name_H-M 'P 1'
_symmetry_Int_Tables_number 1
_symmetry_space_group_name_Hall 'P 1'
loop_
_atom_site_label
_atom_site_type_symbol
_atom_site_fract_x
_atom_site_fract_y
_atom_site_fract_z
_atom_site_occupancy
Sc1 Sc 0.0866 0.6250 0.9616 1
Sc2 Sc 0.3750 0.3366 0.4616 1
Sc3 Sc 0.6634 0.1250 0.0384 1
Sc4 Sc 0.8750 0.9134 0.5384 1
Mo1 Mo 0.2500 0.7500 0.5000 1
Mo2 Mo 0.5000 0.5000 0.0000 1
Cl1 Cl 0.0000 0.0000 0.0000 1
Cl2 Cl 0.7500 0.2500 0.5000 1

***

Record 10
# Ti2Cd2Br GGA-PBE relaxed
# uncorrected formation energy	-0.02	eV/atom
# calculated total energy	-19.4	eV per formula unit
# spin magnetization	0.00	μB/atom
# D(E_F)	8.040	states/eV/cell
data_Ti2Cd2Br
_cell_length_a 6.6337
_cell_length_b 6.6337
_cell_length_c 4.6743
_cell_angle_alpha 90.00
_cell_angle_beta 90.00
_cell_angle_gamma 90.00
_symmetry_space_group_name_H-M 'P 1'
_symmetry_Int_Tables_number 1
_symmetry_space_group_name_Hall 'P 1'
loop_
_atom_site_label
_atom_site_type_symbol
_atom_site_fract_x
_atom_site_fract_y
_atom_site_fract_z
_atom_site_occupancy
Ti1 Ti 0.1494 0.3506 0.0000 1
Ti2 Ti 0.3506 0.8506 0.0000 1
Ti3 Ti 0.6494 0.1494 0.0000 1
Ti4 Ti 0.8506 0.6494 0.0000 1
Cd1 Cd 0.1533 0.6533 0.5000 1
Cd2 Cd 0.3467 0.1533 0.5000 1
Cd3 Cd 0.6533 0.8467 0.5000 1
Cd4 Cd 0.8467 0.3467 0.5000 1
Br1 Br 0.0000 0.0000 0.0000 1
Br2 Br 0.5000 0.5000 0.0000 1

***

Record 11
# Sr3TiHg GGA-PBE relaxed
# calculated total energy	-11.0	eV per formula unit
# energy of formation from the pure elements	0.458	eV/atom
# relative energy among the computed polymorphs	0	meV per atom
# spin magnetization	0.59	μB/atom
# D(E_F)	5.792	states/eV/cell
data_Sr3TiHg
_cell_length_a 6.1514
_cell_length_b 6.1514
_cell_length_c 6.1514
_cell_angle_alpha 90.00
_cell_angle_beta 90.00
_cell_angle_gamma 90.00
_symmetry_space_group_name_H-M 'P 1'
_symmetry_Int_Tables_number 1
_symmetry_space_group_name_Hall 'P 1'
loop_
_atom_site_label
_atom_site_type_symbol
_atom_site_fract_x
_atom_site_fract_y
_atom_site_fract_z
_atom_site_occupancy
Sr1 Sr 0.0000 0.0000 0.5000 1
Sr2 Sr 0.0000 0.5000 0.0000 1
Sr3 Sr 0.5000 0.0000 0.0000 1
Ti1 Ti 0.5000 0.5000 0.5000 1
Hg1 Hg 0.0000 0.0000 0.0000 1

***

Record 12
# SrMnTe2 GGA-PBE relaxed
# uncorrected formation energy	-0.66	eV/atom
# calculated total energy	-19.8	eV per formula unit
# relative energy among the computed polymorphs	166	meV per atom
# spin magnetization	1.25	μB/atom
# D(E_F)	0.451	states/eV/cell
data_SrMnTe2
_cell_length_a 7.9724
_cell_length_b 7.9724
_cell_length_c 7.9724
_cell_angle_alpha 150.86
_cell_angle_beta 149.56
_cell_angle_gamma 42.64
_symmetry_space_group_name_H-M 'P 1'
_symmetry_Int_Tables_number 1
_symmetry_space_group_name_Hall 'P 1'
loop_
_atom_site_label
_atom_site_type_symbol
_atom_site_fract_x
_atom_site_fract_y
_atom_site_fract_z
_atom_site_occupancy
Sr1 Sr 0.0000 0.0000 0.0000 1
Mn1 Mn 0.7499 0.2499 0.5000 1
Te1 Te 0.3239 0.8239 0.5000 1
Te2 Te 0.6059 0.6059 0.0000 1

***

> calculated total energy of number 6 (Na2LiCdP2)?

-18.3 eV per formula unit

***

> Which of these has the highest calculated total energy?

Sr3TiHg

***

> Number 1 is which compound?

DyIn4Pd2

***

> Look up the calculated total energy of the third one.

-31.1 eV per formula unit